Run A
Below is crystalline Pu3AlGe2 at its relaxed geometry, with properties calculated at the GGA-PBE level.

Unit cell a=7.905 b=7.905 c=7.905 alpha=150.40 beta=146.53 gamma=45.28
Each line ends with the local moment (μB).
Fractional coordinates of all 6 atoms:
Pu  0.665  0.165  0.500  5.27
Pu  0.500  0.500  0.000  -4.78
Pu  0.335  0.835  0.500  5.27
Ge  0.131  0.631  0.500  -0.02
Ge  0.869  0.369  0.500  -0.02
Al  0.000  0.000  0.000  -0.01

=====

Run B
Below is crystalline Pu3AlGe2 at its relaxed geometry, with properties calculated at the GGA-PBE level.

Unit cell a=6.238 b=5.986 c=8.611 alpha=110.34 beta=111.24 gamma=90.00
Each line ends with the local moment (μB).
Fractional coordinates of all 12 atoms:
Pu  0.500  0.250  0.000  5.58
Pu  0.083  0.825  0.650  5.59
Pu  0.433  0.675  0.350  5.59
Pu  0.917  0.175  0.350  5.59
Pu  0.567  0.325  0.650  5.59
Pu  0.500  0.750  0.000  5.58
Al  0.000  0.750  0.000  0.02
Al  0.000  0.250  0.000  0.02
Ge  0.906  0.624  0.248  -0.06
Ge  0.658  0.876  0.752  -0.06
Ge  0.094  0.376  0.752  -0.06
Ge  0.342  0.124  0.248  -0.06

=====

Energies relative to the minimum, meV per atom: run A 0; run B 30

=====

Run A
Below is crystalline Pu3Al2Ge3 at its relaxed geometry, with properties calculated at the GGA-PBE level.

Unit cell a=5.882 b=7.670 c=7.670 alpha=120.00 beta=90.00 gamma=90.00
Fractional coordinates of all 16 atoms:
Ge  0.250  0.000  0.435
Ge  0.750  0.435  0.435
Ge  0.750  0.000  0.565
Ge  0.750  0.565  0.000
Ge  0.250  0.435  0.000
Ge  0.250  0.565  0.565
Pu  0.250  0.821  0.000
Pu  0.250  0.000  0.821
Pu  0.750  0.000  0.179
Pu  0.250  0.179  0.179
Pu  0.750  0.179  0.000
Pu  0.750  0.821  0.821
Al  0.000  0.333  0.667
Al  0.500  0.667  0.333
Al  0.000  0.667  0.333
Al  0.500  0.333  0.667

=====

Run B
Below is crystalline Pu3Al2Ge3 at its relaxed geometry, with properties calculated at the GGA-PBE level.

Unit cell a=4.433 b=5.598 c=14.806 alpha=90.00 beta=90.00 gamma=113.33
Each line ends with the local moment (μB).
Fractional coordinates of all 16 atoms:
Ge  0.263  0.525  0.750  -0.04
Ge  0.941  0.882  0.093  -0.08
Ge  0.737  0.475  0.250  -0.04
Ge  0.941  0.882  0.407  -0.08
Ge  0.059  0.118  0.593  -0.08
Ge  0.059  0.118  0.907  -0.08
Pu  0.448  0.895  0.250  5.23
Pu  0.354  0.708  0.524  5.26
Pu  0.646  0.292  0.024  5.26
Pu  0.646  0.292  0.476  5.26
Pu  0.552  0.105  0.750  5.23
Pu  0.354  0.708  0.976  5.26
Al  0.169  0.338  0.160  -0.01
Al  0.169  0.338  0.340  -0.01
Al  0.831  0.662  0.660  -0.01
Al  0.831  0.662  0.840  -0.01

=====

Energies relative to the minimum, meV per atom: run A 560; run B 0

=====

Run A
Below is crystalline Rb2AlGe at its relaxed geometry, with properties calculated at the GGA-PBE level.

Unit cell a=5.975 b=5.975 c=5.975 alpha=60.00 beta=60.00 gamma=60.00
Each line ends with the local moment (μB).
Fractional coordinates of all 4 atoms:
Ge  0.500  0.500  0.500  0.38
Rb  0.750  0.750  0.750  0.02
Rb  0.250  0.250  0.250  0.02
Al  0.000  0.000  0.000  -0.02

=====

Run B
Below is crystalline Rb2AlGe at its relaxed geometry, with properties calculated at the GGA-PBE level.

Unit cell a=4.754 b=4.754 c=12.928 alpha=79.41 beta=79.41 gamma=90.00
Fractional coordinates of all 8 atoms:
Rb  0.875  0.876  0.750
Rb  0.375  0.374  0.750
Rb  0.124  0.625  0.250
Rb  0.626  0.125  0.250
Ge  0.000  0.000  0.000
Ge  0.750  0.250  0.500
Al  0.250  0.750  0.500
Al  0.500  0.500  0.000

=====

Energies relative to the minimum, meV per atom: run A 0; run B 113

=====

Run A
Below is crystalline Al2ReGe2 at its relaxed geometry, with properties calculated at the GGA-PBE level.

Unit cell a=3.439 b=3.439 c=7.829 alpha=77.31 beta=77.31 gamma=90.00
Fractional coordinates of all 5 atoms:
Ge  0.410  0.410  0.180
Ge  0.590  0.590  0.820
Al  0.750  0.250  0.500
Al  0.250  0.750  0.500
Re  0.000  0.000  0.000

=====

Run B
Below is crystalline Al2ReGe2 at its relaxed geometry, with properties calculated at the GGA-PBE level.

Unit cell a=6.540 b=6.540 c=3.757 alpha=90.00 beta=90.00 gamma=90.00
Fractional coordinates of all 10 atoms:
Ge  0.363  0.863  0.000
Ge  0.137  0.363  0.000
Ge  0.637  0.137  0.000
Ge  0.863  0.637  0.000
Re  0.000  0.000  0.000
Re  0.500  0.500  0.000
Al  0.172  0.672  0.500
Al  0.828  0.328  0.500
Al  0.328  0.172  0.500
Al  0.672  0.828  0.500

=====

Energies relative to the minimum, meV per atom: run A 403; run B 0

=====

Run A
Below is crystalline AlRe2Ge at its relaxed geometry, with properties calculated at the GGA-PBE level.

Unit cell a=7.522 b=7.522 c=5.854 alpha=50.03 beta=50.03 gamma=90.00
Fractional coordinates of all 8 atoms:
Al  0.500  0.500  0.000
Al  0.250  0.750  0.500
Ge  0.750  0.250  0.500
Ge  0.000  0.000  0.000
Re  0.060  0.625  0.250
Re  0.875  0.940  0.750
Re  0.375  0.310  0.750
Re  0.690  0.125  0.250

=====

Run B
Below is crystalline AlRe2Ge at its relaxed geometry, with properties calculated at the GGA-PBE level.

Unit cell a=4.339 b=4.339 c=4.339 alpha=60.00 beta=60.00 gamma=60.00
Fractional coordinates of all 4 atoms:
Re  0.750  0.750  0.750
Re  0.250  0.250  0.250
Al  0.000  0.000  0.000
Ge  0.500  0.500  0.500

=====

Energies relative to the minimum, meV per atom: run A 612; run B 0

=====

Run A
Below is crystalline AlReGe3 at its relaxed geometry, with properties calculated at the GGA-PBE level.

Unit cell a=4.770 b=4.770 c=4.770 alpha=90.00 beta=90.00 gamma=90.00
Each line ends with the local moment (μB).
Fractional coordinates of all 5 atoms:
Re  0.500  0.500  0.500  2.92
Ge  0.500  0.000  0.000  -0.03
Ge  0.000  0.500  0.000  -0.04
Ge  0.000  0.000  0.500  -0.02
Al  0.000  0.000  0.000  0.02

=====

Run B
Below is crystalline AlReGe3 at its relaxed geometry, with properties calculated at the GGA-PBE level.

Unit cell a=4.856 b=4.856 c=4.856 alpha=90.00 beta=90.00 gamma=90.00
Fractional coordinates of all 5 atoms:
Re  0.000  0.000  0.000
Ge  0.500  0.000  0.000
Ge  0.000  0.500  0.000
Ge  0.000  0.000  0.500
Al  0.500  0.500  0.500

=====

Energies relative to the minimum, meV per atom: run A 922; run B 0

=====

Run A
Below is crystalline AlGeRh3 at its relaxed geometry, with properties calculated at the GGA-PBE level.

Unit cell a=4.438 b=4.438 c=4.438 alpha=90.00 beta=90.00 gamma=90.00
Fractional coordinates of all 5 atoms:
Rh  0.000  0.000  0.500
Rh  0.000  0.500  0.000
Rh  0.500  0.000  0.000
Al  0.000  0.000  0.000
Ge  0.500  0.500  0.500

=====

Run B
Below is crystalline AlGeRh3 at its relaxed geometry, with properties calculated at the GGA-PBE level.

Unit cell a=4.489 b=4.489 c=4.489 alpha=90.00 beta=90.00 gamma=90.00
Fractional coordinates of all 5 atoms:
Ge  0.000  0.000  0.000
Rh  0.000  0.500  0.000
Rh  0.500  0.000  0.000
Rh  0.000  0.000  0.500
Al  0.500  0.500  0.500

=====

Energies relative to the minimum, meV per atom: run A 186; run B 0

=====

Run A
Below is crystalline AlGeRu2 at its relaxed geometry, with properties calculated at the GGA-PBE level.

Unit cell a=4.264 b=4.264 c=4.264 alpha=60.00 beta=60.00 gamma=60.00
Fractional coordinates of all 4 atoms:
Al  0.000  0.000  0.000
Ge  0.500  0.500  0.500
Ru  0.750  0.750  0.750
Ru  0.250  0.250  0.250

=====

Run B
Below is crystalline AlGeRu2 at its relaxed geometry, with properties calculated at the GGA-PBE level.

Unit cell a=6.566 b=6.566 c=5.501 alpha=53.36 beta=53.36 gamma=90.00
Fractional coordinates of all 8 atoms:
Ge  0.000  0.000  0.000
Ge  0.750  0.250  0.500
Al  0.500  0.500  0.000
Al  0.250  0.750  0.500
Ru  0.875  0.887  0.750
Ru  0.637  0.125  0.250
Ru  0.375  0.363  0.750
Ru  0.113  0.625  0.250

=====

Energies relative to the minimum, meV per atom: run A 0; run B 709